# 1
The following is a PBE-GGA calculation of a geometry-optimized Pr2Nd2Ho structure, from Alexandria via LeMat-Bulk.

Cell lengths 3.5251, 6.2546, 8.9054 Å; angles 103.65, 101.35, 106.22 degrees
With the nearest neighbours (Å) after each atom.
Space group P-1 (No. 2)
Inequivalent atoms, fractional coordinates:
Pr  0.1245  0.4458  0.3011 [2 per cell]  4 Pr 3.53-3.77, 3 Ho 3.61-3.69, 5 Nd 3.68-3.73
Nd  0.3050  0.1970  0.9098 [2 per cell]  1 Ho 3.40, 5 Nd 3.49-3.68, 5 Pr 3.68-3.73
Ho  0.0000  0.0000  0.5000 [1 per cell]  2 Nd 3.40, 2 Ho 3.53, 6 Pr 3.61-3.69

Calculated values
E_form = 0.14 eV/atom

=====

# 2
The following is a PBE-GGA calculation of a geometry-optimized K6Rb2PbO structure, from Alexandria via LeMat-Bulk.

Cell lengths 13.8359, 8.0582, 10.2431 Å; angles 90.00, 116.31, 90.00 degrees
With the nearest neighbours (Å) after each atom.
Space group C2/m (No. 12)
Inequivalent atoms, fractional coordinates:
K  0.0237  0.2378  0.3338 [8 per cell]  1 O 2.68
K  0.2142  0.0000  0.6614 [4 per cell]  1 O 2.68
Rb  0.1990  0.0000  0.0903 [4 per cell]  9 K 4.49-4.63, 3 Pb 4.65-4.73, 3 Rb 4.90-4.97
Pb  0.0000  0.5000  0.0000 [2 per cell]  6 K 3.91-3.94
O  0.0000  0.0000  0.5000 [2 per cell]  6 K 2.68

Calculated values
energy relative to the elements, uncorrected = -320 meV per atom

=====

# 3
The following is a PBE-GGA calculation of a geometry-optimized CaNbAu structure, from Alexandria via LeMat-Bulk.

Cell lengths 17.7932, 4.4697, 3.4914 Å; angles 90.00, 101.23, 90.00 degrees
With the nearest neighbours (Å) after each atom.
Space group C2 (No. 5)
Inequivalent atoms, fractional coordinates:
Ca  0.1793  0.0000  0.1786 [4 per cell]  4 Au 2.97-2.98
Nb  0.0000  0.4878  0.0000 [2 per cell]  4 Nb 2.80-2.87, 4 Au 2.83
Nb  0.0000  0.9970  0.5000 [2 per cell]  4 Nb 2.80-2.87
Au  0.1277  0.4997  0.6271 [4 per cell]  4 Nb 2.83-3.16, 4 Ca 2.97-2.98

Calculated values
E_form = -0.22 eV/atom

=====

# 4
The following is a PBE-GGA calculation of a geometry-optimized FeHg structure, from Alexandria via LeMat-Bulk.

Cell lengths 4.1266, 2.9480, 18.1625 Å; angles 90.00, 90.00, 90.00 degrees
With the nearest neighbours (Å) after each atom.
Space group Amm2 (No. 38)
Inequivalent atoms, fractional coordinates:
Fe  0.0000  0.0000  0.0000 [2 per cell]  4 Fe 2.37-2.50
Fe  0.0000  0.0000  0.3976 [2 per cell]  6 Fe 2.37-2.58
Fe  0.5000  0.0000  0.9224 [2 per cell]  6 Fe 2.50-2.58
Hg  0.0000  0.0000  0.6845 [2 per cell]  8 Hg 2.95-3.17
Hg  0.5000  0.0000  0.2891 [2 per cell]  4 Fe 2.83-2.85, 6 Hg 2.95-3.17
Hg  0.5000  0.0000  0.5637 [2 per cell]  6 Fe 2.79-2.96, 4 Hg 2.95-3.01

Calculated values
E_form = 0.34 eV/atom

=====

# 5
The following is a PBE-GGA calculation of a geometry-optimized Ba6CeI12 structure, from Alexandria via LeMat-Bulk.

Cell lengths 15.0726, 15.0726, 14.3052 Å; angles 90.00, 90.00, 120.00 degrees
With the nearest neighbours (Å) after each atom.
Space group R-3 (No. 148, hexagonal axes)
Inequivalent atoms, fractional coordinates:
Ba  0.0498  0.6073  0.3097 [18 per cell]  7 I 3.48-3.72
Ce  0.0000  0.0000  0.0000 [3 per cell]  6 I 3.24
I  0.0385  0.8205  0.3969 [18 per cell]  4 Ba 3.50-3.69
I  0.0551  0.8543  0.8759 [18 per cell]  1 Ce 3.24, 2 Ba 3.48-3.55

Calculated values
energy relative to the elements, uncorrected = -1527 meV per atom

=====

# 6
The following is a PBE-GGA calculation of a geometry-optimized Ba4GeICl2 structure, from Alexandria via LeMat-Bulk.

Cell lengths 8.0213, 4.8481, 8.5293 Å; angles 90.00, 109.97, 90.00 degrees
With the nearest neighbours (Å) after each atom.
Space group P2/m (No. 10)
Inequivalent atoms, fractional coordinates:
Ba  0.2422  0.0000  0.2247 [2 per cell]  3 Cl 3.26-3.51, 2 Ge 3.28, 1 I 3.52
Ba  0.2545  0.5000  0.7785 [2 per cell]  1 Ge 3.22, 3 Cl 3.28-3.57, 2 I 3.52
Ge  0.0000  0.5000  0.0000 [1 per cell]  6 Ba 3.22-3.28
I  0.0000  0.0000  0.5000 [1 per cell]  6 Ba 3.52
Cl  0.5000  0.0000  0.0000 [1 per cell]  6 Ba 3.26-3.28
Cl  0.5000  0.5000  0.5000 [1 per cell]  6 Ba 3.51-3.57

Calculated values
energy relative to the elements, uncorrected = -1446 meV per atom

=====

# 7
The following is a PBE-GGA calculation of a geometry-optimized ZrSc2Cd structure, from Alexandria via LeMat-Bulk.

Cell lengths 3.2737, 3.2737, 8.5403 Å; angles 90.00, 90.00, 90.00 degrees
With the nearest neighbours (Å) after each atom.
Space group P4/mmm (No. 123)
Inequivalent atoms, fractional coordinates:
Zr  0.0000  0.0000  0.0000 [1 per cell]  8 Sc 3.18, 4 Zr 3.27
Sc  0.5000  0.5000  0.2549 [2 per cell]  4 Cd 3.12, 4 Zr 3.18, 4 Sc 3.27
Cd  0.0000  0.0000  0.5000 [1 per cell]  8 Sc 3.12, 4 Cd 3.27

Calculated values
E_form = -0.17 eV/atom

=====

# 8
The following is a PBE-GGA calculation of a geometry-optimized KYIn structure, from Alexandria via LeMat-Bulk.

Cell lengths 5.6611, 5.6611, 3.2548 Å; angles 90.00, 90.00, 120.00 degrees
With the nearest neighbours (Å) after each atom.
Space group P-6m2 (No. 187)
Inequivalent atoms, fractional coordinates:
K  0.0000  0.0000  0.0000 [1 per cell]  2 K 3.25, 3 Y 3.27
Y  0.6667  0.3333  0.0000 [1 per cell]  2 Y 3.25, 3 K 3.27
In  0.3333  0.6667  0.5000 [1 per cell]  2 In 3.25

Calculated values
E_form = 0.16 eV/atom

=====

| no. | total energy (eV per atom) |
| --- | --- |
| 1 | -4.594 |
| 2 | -2.038 |
| 3 | -5.334 |
| 4 | -4.038 |
| 5 | -3.425 |
| 6 | -3.640 |
| 7 | -5.704 |
| 8 | -3.276 |